1.
The following is a PBE calculation of a geometry-optimized ErSc3Ru structure, from the Alexandria database.

Lattice parameters (Å, degrees): 5.039 5.039 5.039 90.00 90.00 90.00
Space group Pm-3m (No. 221)
Asymmetric unit:
Er: 0.000 0.000 0.000 x1
Sc: 0.000 0.500 0.500 x3
Ru: 0.500 0.500 0.500 x1

The size of the total moment is 0.00 Bohr magnetons per cell. Its energy of formation from the pure elements is -115 meV per atom. The total DFT energy (no corrections) is -6.68 eV per atom. The value obtained for the calculated volume is 25.60 Å³/atom.

---

2.
The following is a PBE calculation of a geometry-optimized Er5Ru2Se2 structure, from the Alexandria database.

Lattice parameters (Å, degrees): 15.002 7.528 7.479 90.00 90.00 90.00
Space group Cmce (No. 64)
Asymmetric unit:
Er: 0.000 0.000 0.000 x4
Er: 0.124 0.165 0.339 x16
Ru: 0.000 0.134 0.632 x8
Se: 0.210 0.000 0.000 x8

The size of the total moment is 0.00 Bohr magnetons per cell. The total DFT energy (no corrections) is -6.33 eV per atom. The formation energy without anion corrections comes out at -0.964 eV/atom. The value obtained for the calculated volume is 23.46 Å³/atom.

---

3.
The following is a PBE calculation of a geometry-optimized Er5Ru4Se structure, from the Alexandria database.

Lattice parameters (Å, degrees): 3.419 3.419 16.981 90.00 90.00 90.00
Space group P4/mmm (No. 123)
Asymmetric unit:
Er: 0.000 0.000 0.000 x1
Er: 0.000 0.000 0.195 x2
Er: 0.000 0.000 0.391 x2
Ru: 0.500 0.500 0.098 x2
Ru: 0.500 0.500 0.298 x2
Se: 0.500 0.500 0.500 x1

The size of the total moment is 0.00 Bohr magnetons per cell. The total DFT energy (no corrections) is -6.96 eV per atom. The formation energy without anion corrections comes out at -0.623 eV/atom. The value obtained for the calculated volume is 19.85 Å³/atom.

---

4.
The following is a PBE calculation of a geometry-optimized Er2Si4Ru5 structure, from the Alexandria database.

Lattice parameters (Å, degrees): 5.793 9.878 12.896 90.00 90.00 90.00
Space group Fmmm (No. 69)
Asymmetric unit:
Er: 0.000 0.000 0.129 x8
Si: 0.000 0.147 0.364 x16
Ru: 0.000 0.000 0.500 x4
Ru: 0.250 0.250 0.000 x8
Ru: 0.250 0.250 0.250 x8

The size of the total moment is 0.00 Bohr magnetons per cell. The total DFT energy (no corrections) is -7.75 eV per atom. The formation energy without anion corrections comes out at -0.731 eV/atom. The value obtained for the calculated volume is 16.77 Å³/atom.

---

5.
The following is a PBE calculation of a geometry-optimized Er3Si3Ru structure, from the Alexandria database.

Lattice parameters (Å, degrees): 10.496 4.195 13.476 90.00 110.81 90.00
Space group C2/m (No. 12)
Asymmetric unit:
Er: 0.021 0.000 0.375 x4
Er: 0.102 0.000 0.921 x4
Er: 0.245 0.000 0.228 x4
Si: 0.050 0.500 0.237 x4
Si: 0.113 0.500 0.074 x4
Si: 0.135 0.500 0.543 x4
Ru: 0.248 0.500 0.413 x4

The size of the total moment is 0.00 Bohr magnetons per cell. The total DFT energy (no corrections) is -6.47 eV per atom. The formation energy without anion corrections comes out at -0.864 eV/atom. The value obtained for the calculated volume is 19.81 Å³/atom.

---

6.
The following is a PBE calculation of a geometry-optimized Er2Si4Ru3 structure, from the Alexandria database.

Lattice parameters (Å, degrees): 6.626 6.641 6.967 90.00 111.17 90.00
Space group P2_1/c (No. 14)
Asymmetric unit:
Er: 0.189 0.171 0.061 x4
Si: 0.107 0.566 0.875 x4
Si: 0.476 0.651 0.622 x4
Ru: 0.238 0.628 0.253 x4
Ru: 0.500 0.000 0.500 x2

The size of the total moment is 0.00 Bohr magnetons per cell. The total DFT energy (no corrections) is -7.30 eV per atom. The formation energy without anion corrections comes out at -0.779 eV/atom. The value obtained for the calculated volume is 15.88 Å³/atom.